TbCuTcGe2 | PBE | relaxed

Computed properties:
Its symmetry is I-4m2 (119). The calculation puts the formation enthalpy at 0 K at -0.402 eV per atom.

abc: 6.113 6.113 6.113
angles: 141.23 141.23 55.99
Sites, in units of the cell vectors:
Tb1 0.000 0.000 0.000
Cu1 0.250 0.750 0.500
Tc1 0.750 0.250 0.500
Ge1 0.380 0.380 0.000
Ge2 0.620 0.620 0.000